LiMgCdPb | PBE-GGA | relaxed

Values from the calculation:
Density = 6.46 Mg/m³
ΔH_f (0 K) = -15.4 kJ per mole of atoms
Spin magnetization = 0.0 μB per formula unit
Crystal system = tetragonal
Polymorph energy (0 for the lowest one) = 0 meV per atom

Unit cell a=4.6325 b=4.6327 c=5.3303 alpha=115.76 beta=115.75 gamma=90.00
Sites, in units of the cell vectors:
Pb 0.2500 0.7500 0.5000
Li 0.5000 0.5000 0.0000
Cd 0.7500 0.2500 0.5000
Mg 0.0000 0.0000 0.0000